VASP calculation (PBE-GGA) on a geometry-optimized BaZnPt2Br structure.

Structure (POSCAR):
```
BaZnPt2Br
1.0
-1.8481 4.3936 1.3638
-4.5139 -2.7539 2.7552
2.6602 -0.1785 4.1798
Zn Br Ba Pt
1 1 1 2
Cartesian
-1.8509 0.7306 4.1494 Zn
0.0000 0.0000 0.0000 Br
-2.2569 -1.3770 1.3776 Ba
1.3301 -0.0892 2.0899 Pt
-0.9241 2.1968 0.6819 Pt
```

Properties
total magnetic moment	0.0	μB/f.u.
crystal system	tetragonal
uncorrected energy	-15.3	eV/cell
formation energy (no corrections)	0.34	eV per atom